(1)
A relaxed structure of KHfPd2, computed with PBE.

Lattice parameters (Å, degrees): 7.6476 7.6476 6.3344 52.87 52.87 90.00
Fractional coordinates of all 8 atoms:
Hf 0.7500 0.2500 0.5000
Hf 0.0000 0.0000 0.0000
Pd 0.8750 0.9242 0.7500
Pd 0.6742 0.1250 0.2500
Pd 0.3750 0.3258 0.7500
Pd 0.0758 0.6250 0.2500
K 0.2500 0.7500 0.5000
K 0.5000 0.5000 0.0000

Computed properties:
- Symmetry: I-42d (122)
- ΔE to the lowest computed polymorph: 1.73 kcal/mol of atoms

(2)
A relaxed structure of SmDy6Ho3Tm2, computed with PBE.

Lattice parameters (Å, degrees): 6.1166 6.1166 11.7131 94.97 94.97 119.95
Fractional coordinates of all 12 atoms:
Ho 0.5000 0.5000 0.5000
Ho 0.8330 0.1670 0.5000
Ho 0.1670 0.8330 0.5000
Dy 0.2499 0.2499 0.7497
Dy 0.5820 0.9159 0.7496
Dy 0.9159 0.5820 0.7496
Dy 0.4180 0.0841 0.2504
Dy 0.7501 0.7501 0.2503
Dy 0.0841 0.4180 0.2504
Tm 0.3333 0.6667 0.0000
Tm 0.6667 0.3333 0.0000
Sm 0.0000 0.0000 0.0000

Computed properties:
- Symmetry: C2/m (12)
- Final energy: -54.790 eV/cell

(3)
A relaxed structure of LiTi2SiPb, computed with PBE.

Lattice parameters (Å, degrees): 4.7340 4.7340 4.5297 90.00 90.00 90.00
Fractional coordinates of all 5 atoms:
Pb 0.5000 0.5000 0.5000
Ti 0.0000 0.5000 0.0000
Ti 0.5000 0.0000 0.0000
Si 0.0000 0.0000 0.0000
Li 0.0000 0.0000 0.5000

Computed properties:
- Formation energy (no corrections): 0.37 eV per formula unit
- Symmetry: P4/mmm (123)

(4)
A relaxed structure of TbSb3, computed with PBE.

Lattice parameters (Å, degrees): 4.3769 4.5335 6.1962 90.00 90.00 90.00
Fractional coordinates of all 4 atoms:
Tb 0.0000 0.7536 0.0000
Sb 0.0000 0.8731 0.5000
Sb 0.5000 0.4404 0.5000
Sb 0.5000 0.2662 0.0000

Computed properties:
- Formation energy (no corrections): -1.96 eV per formula unit
- Symmetry: Pmm2 (25)
- ΔE to the lowest computed polymorph: 0.00 kcal/mol of atoms

(5)
A relaxed structure of Os5W, computed with PBE.

Lattice parameters (Å, degrees): 6.1470 6.1470 3.8862 90.00 90.00 143.26
Fractional coordinates of all 6 atoms:
Os 0.1688 0.8312 0.5000
Os 0.8312 0.1688 0.5000
Os 0.5000 0.5000 0.5000
Os 0.3313 0.6687 0.0000
Os 0.6687 0.3313 0.0000
W 0.0000 0.0000 0.0000

Computed properties:
- Symmetry: Cmmm (65)
- ΔE to the lowest computed polymorph: 2.50 kcal/mol of atoms

(6)
A relaxed structure of SbS2F, computed with PBE.

Lattice parameters (Å, degrees): 6.7270 6.7270 5.9996 55.90 55.90 90.00
Fractional coordinates of all 8 atoms:
S 0.6465 0.1250 0.2500
S 0.3750 0.3535 0.7500
S 0.8750 0.8965 0.7500
S 0.1035 0.6250 0.2500
Sb 0.0000 0.0000 0.0000
Sb 0.7500 0.2500 0.5000
F 0.2500 0.7500 0.5000
F 0.5000 0.5000 0.0000

Computed properties:
- Formation energy (no corrections): -0.64 eV per formula unit
- Symmetry: I-42d (122)
- ΔE to the lowest computed polymorph: 1.47 kcal/mol of atoms

(7)
A relaxed structure of CsLiLa2Sn, computed with PBE.

Lattice parameters (Å, degrees): 5.8853 4.9358 5.8853 90.00 90.00 90.00
Fractional coordinates of all 5 atoms:
Li 0.0000 0.5000 0.0000
La 0.0000 0.0000 0.5000
La 0.5000 0.0000 0.0000
Cs 0.0000 0.0000 0.0000
Sn 0.5000 0.5000 0.5000

Computed properties:
- Symmetry: P4/mmm (123)
- Final energy: -12.840 eV/cell

(8)
A relaxed structure of EuPuAlPb, computed with PBE.

Lattice parameters (Å, degrees): 5.4118 5.4118 5.4118 60.00 60.00 60.00
Site moments in Bohr magnetons follow the coordinates.
Fractional coordinates of all 4 atoms:
Pu 0.5000 0.5000 0.5000  5.45
Eu 0.0000 0.0000 0.0000  -6.78
Al 0.7500 0.7500 0.7500  0.00
Pb 0.2500 0.2500 0.2500  -0.01

Computed properties:
- Symmetry: F-43m (216)
- Final energy: -32.627 eV/cell

(9)
A relaxed structure of Tb3ErBi3, computed with PBE.

Lattice parameters (Å, degrees): 9.3947 9.3947 9.3947 90.00 90.00 90.00
Fractional coordinates of all 28 atoms:
Tb 0.8230 0.6770 0.3230
Tb 0.5710 0.0710 0.4290
Tb 0.8239 0.3239 0.1761
Tb 0.4290 0.5710 0.0710
Tb 0.6761 0.6761 0.6761
Tb 0.6770 0.3230 0.8230
Tb 0.9290 0.9290 0.9290
Tb 0.0710 0.4290 0.5710
Tb 0.1771 0.1771 0.1771
Tb 0.3239 0.1761 0.8239
Tb 0.1761 0.8239 0.3239
Tb 0.3230 0.8230 0.6770
Bi 0.7526 0.6262 0.9991
Bi 0.5009 0.2474 0.1262
Bi 0.9991 0.7526 0.6262
Bi 0.0009 0.2526 0.8738
Bi 0.2474 0.1262 0.5009
Bi 0.2526 0.8738 0.0009
Bi 0.7474 0.3738 0.4991
Bi 0.3738 0.4991 0.7474
Bi 0.6262 0.9991 0.7526
Bi 0.4991 0.7474 0.3738
Bi 0.1262 0.5009 0.2474
Bi 0.8738 0.0009 0.2526
Er 0.9260 0.0740 0.5740
Er 0.5740 0.9260 0.0740
Er 0.0740 0.5740 0.9260
Er 0.4260 0.4260 0.4260

Computed properties:
- Symmetry: P2_13 (198)
- ΔE to the lowest computed polymorph: 0.00 kcal/mol of atoms

(10)
A relaxed structure of LaPm3Sm, computed with PBE.

Lattice parameters (Å, degrees): 6.9113 6.0932 9.5148 108.56 111.30 90.00
Fractional coordinates of all 10 atoms:
Pm 0.1115 0.0966 0.6927
Pm 0.7722 0.5231 0.5445
Pm 0.2278 0.4769 0.4555
Pm 0.4188 0.9034 0.3073
Pm 0.5812 0.0966 0.6927
Pm 0.8885 0.9034 0.3073
La 0.0000 0.5000 0.0000
La 0.0000 0.0000 0.0000
Sm 0.4509 0.7010 0.9018
Sm 0.5491 0.2990 0.0982

Computed properties:
- Symmetry: C2/m (12)
- ΔE to the lowest computed polymorph: 3.43 kcal/mol of atoms

(11)
A relaxed structure of Ba3Ta4TiO15, computed with PBE.

Lattice parameters (Å, degrees): 12.7506 4.0237 12.6759 89.87 90.00 90.00
Fractional coordinates of all 46 atoms:
Ta 0.0374 0.2067 0.9269
Ta 0.4630 0.2049 0.0759
Ta 0.7500 0.2216 0.0021
Ta 0.9626 0.2067 0.4269
Ta 0.2500 0.2216 0.5021
Ta 0.8252 0.2126 0.7143
Ta 0.1748 0.2126 0.2143
Ta 0.5370 0.2049 0.5759
O 0.6736 0.6797 0.2911
O 0.6075 0.1915 0.4292
O 0.4693 0.1964 0.7163
O 0.5425 0.6948 0.5750
O 0.9641 0.1942 0.7833
O 0.2497 0.1906 0.6553
O 0.0407 0.6942 0.9203
O 0.7486 0.6957 0.9983
O 0.3264 0.6797 0.7911
O 0.7424 0.1910 0.8426
O 0.3181 0.1935 0.1379
O 0.4066 0.1932 0.4930
O 0.3925 0.1915 0.9292
O 0.0953 0.1900 0.5083
O 0.1759 0.1930 0.8543
O 0.5934 0.1932 0.9930
O 0.1738 0.6937 0.2047
O 0.6819 0.1935 0.6379
O 0.7503 0.1906 0.1553
O 0.9047 0.1900 0.0083
O 0.1109 0.1937 0.0659
O 0.2514 0.6957 0.4983
O 0.5307 0.1964 0.2163
O 0.8241 0.1930 0.3543
O 0.0359 0.1942 0.2833
O 0.2576 0.1910 0.3426
O 0.9593 0.6942 0.4203
O 0.4575 0.6948 0.0750
O 0.8891 0.1937 0.5659
O 0.8262 0.6937 0.7047
Ti 0.3305 0.2367 0.7851
Ti 0.6695 0.2367 0.2851
Ba 0.8991 0.7096 0.1904
Ba 0.7480 0.7038 0.4941
Ba 0.2520 0.7038 0.9941
Ba 0.4320 0.7098 0.3357
Ba 0.5680 0.7098 0.8357
Ba 0.1009 0.7096 0.6904

Computed properties:
- Formation energy (no corrections): -69.21 eV per formula unit
- Symmetry: Pc (7)
- ΔE to the lowest computed polymorph: 0.00 kcal/mol of atoms

(12)
A relaxed structure of Ta2PbCl, computed with PBE.

Lattice parameters (Å, degrees): 4.7748 4.7748 4.7748 60.00 60.00 60.00
Fractional coordinates of all 4 atoms:
Pb 0.5000 0.5000 0.5000
Cl 0.0000 0.0000 0.0000
Ta 0.2500 0.2500 0.2500
Ta 0.7500 0.7500 0.7500

Computed properties:
- Formation energy (no corrections): 2.93 eV per formula unit
- Symmetry: Fm-3m (225)
- ΔE to the lowest computed polymorph: 18.74 kcal/mol of atoms

| no. | spin magnetization (Bohr magnetons per cell) | calculated density (Mg/m³) |
| --- | --- | --- |
| 1 | 0.00 | 7.41 |
| 2 | 0.00 | 8.69 |
| 3 | 0.00 | 5.53 |
| 4 | 0.00 | 7.08 |
| 5 | 0.00 | 21.46 |
| 6 | 0.00 | 4.11 |
| 7 | 0.00 | 5.21 |
| 8 | 1.24 | 9.34 |
| 9 | 0.01 | 10.18 |
| 10 | 0.00 | 6.86 |
| 11 | 0.00 | 7.27 |
| 12 | 0.00 | 13.04 |